Record 1
Compound: TcNi
Source: Alexandria via LeMat-Bulk
Functional: PBE-GGA
Structure: relaxed

Cell: 2.5701 2.5701 3.8430 Å, 90.00 90.00 90.00°
Space group P4/mmm (No. 123)
Inequivalent atoms, fractional coordinates:
Tc  0.0000  0.0000  0.0000 [1 per cell]
Ni  0.5000  0.5000  0.5000 [1 per cell]

Output
ΔE_f: 0.029 eV per atom
Calculated volume: 12.692 Å³ per atom
DOS(E_F): 1.323 states/eV/atom
Energy: -16.09 eV per formula unit

---

Record 2
Compound: Tc3Ni4
Source: Alexandria via LeMat-Bulk
Functional: PBE-GGA
Structure: relaxed

Cell: 3.0671 3.0671 18.6347 Å, 90.00 90.00 90.00°
Space group I4/mmm (No. 139)
Inequivalent atoms, fractional coordinates:
Tc  0.0000  0.0000  0.0000 [2 per cell]
Tc  0.0000  0.0000  0.2882 [4 per cell]
Ni  0.0000  0.0000  0.1347 [4 per cell]
Ni  0.0000  0.0000  0.4275 [4 per cell]

Output
ΔE_f: 0.082 eV per atom
Calculated volume: 12.521 Å³ per atom
DOS(E_F): 1.011 states/eV/atom
Energy: -53.65 eV per formula unit

---

Record 3
Compound: Tc3Ni
Source: Alexandria via LeMat-Bulk
Functional: PBE-GGA
Structure: relaxed

Cell: 8.6229 8.6229 2.5961 Å, 90.00 90.00 120.00°
Space group R-3m (No. 166, hexagonal axes)
Inequivalent atoms, fractional coordinates:
Tc  0.0000  0.5000  0.0000 [9 per cell]
Ni  0.0000  0.0000  0.0000 [3 per cell]

Output
ΔE_f: 0.235 eV per atom
Calculated volume: 13.931 Å³ per atom
DOS(E_F): 1.069 states/eV/atom
Energy: -35.94 eV per formula unit

---

Record 4
Compound: TcNi
Source: Alexandria via LeMat-Bulk
Functional: PBE-GGA
Structure: relaxed

Cell: 2.6582 2.6582 4.2068 Å, 90.00 90.00 120.00°
Space group P-6m2 (No. 187)
Inequivalent atoms, fractional coordinates:
Tc  0.0000  0.0000  0.0000 [1 per cell]
Ni  0.3333  0.6667  0.5000 [1 per cell]

Output
ΔE_f: 0.088 eV per atom
Calculated volume: 12.871 Å³ per atom
DOS(E_F): 1.742 states/eV/atom
Energy: -15.97 eV per formula unit

---

Record 5
Compound: TcNi
Source: Alexandria via LeMat-Bulk
Functional: PBE-GGA
Structure: relaxed

Cell: 10.1305 10.1305 2.6051 Å, 90.00 90.00 120.00°
Space group P6_3/m (No. 176)
Inequivalent atoms, fractional coordinates:
Tc  0.0158  0.6115  0.2500 [6 per cell]
Ni  0.2225  0.5069  0.2500 [6 per cell]

Output
ΔE_f: 0.808 eV per atom
Calculated volume: 19.295 Å³ per atom
DOS(E_F): 1.152 states/eV/atom
Energy: -14.53 eV per formula unit

---

Record 6
Compound: TcNi
Source: Alexandria via LeMat-Bulk
Functional: PBE-GGA
Structure: relaxed

Cell: 5.9252 5.9252 5.9252 Å, 90.00 90.00 90.00°
Space group Fd-3m (No. 227, origin choice 2)
Inequivalent atoms, fractional coordinates:
Tc  0.1250  0.1250  0.1250 [8 per cell]
Ni  0.1250  0.1250  0.6250 [8 per cell]

Output
ΔE_f: 0.177 eV per atom
Calculated volume: 13.002 Å³ per atom
DOS(E_F): 1.269 states/eV/atom
Energy: -15.79 eV per formula unit

---

Record 7
Compound: TcNi5
Source: Alexandria via LeMat-Bulk
Functional: PBE-GGA
Structure: relaxed

Cell: 6.5304 6.5304 6.5304 Å, 90.00 90.00 90.00°
Space group F-43m (No. 216)
Inequivalent atoms, fractional coordinates:
Tc  0.0000  0.0000  0.0000 [4 per cell]
Ni  0.1249  0.1249  0.3751 [16 per cell]
Ni  0.2500  0.2500  0.7500 [4 per cell]

Output
ΔE_f: 0.153 eV per atom
Calculated volume: 11.604 Å³ per atom
DOS(E_F): 1.625 states/eV/atom
Energy: -38.35 eV per formula unit

---

Record 8
Compound: Tc3Ni
Source: Alexandria via LeMat-Bulk
Functional: PBE-GGA
Structure: relaxed

Cell: 2.7153 2.7153 8.6390 Å, 90.00 90.00 120.00°
Space group P-6m2 (No. 187)
Inequivalent atoms, fractional coordinates:
Tc  0.0000  0.0000  0.0000 [1 per cell]
Tc  0.3333  0.6667  0.2575 [2 per cell]
Ni  0.0000  0.0000  0.5000 [1 per cell]

Output
ΔE_f: 0.045 eV per atom
Calculated volume: 13.790 Å³ per atom
DOS(E_F): 1.103 states/eV/atom
Energy: -36.70 eV per formula unit

---

Record 9
Compound: Tc3Ni
Source: Alexandria via LeMat-Bulk
Functional: PBE-GGA
Structure: relaxed

Cell: 2.7470 4.2815 4.6621 Å, 90.00 90.00 90.00°
Space group Pmm2 (No. 25)
Inequivalent atoms, fractional coordinates:
Tc  0.0000  0.0000  0.0000 [1 per cell]
Tc  0.0000  0.5000  0.3375 [1 per cell]
Tc  0.5000  0.5000  0.8210 [1 per cell]
Ni  0.5000  0.0000  0.4890 [1 per cell]

Output
ΔE_f: -0.008 eV per atom
Calculated volume: 13.708 Å³ per atom
DOS(E_F): 0.950 states/eV/atom
Energy: -36.91 eV per formula unit

---

Record 10
Compound: Tc5Ni
Source: Alexandria via LeMat-Bulk
Functional: PBE-GGA
Structure: relaxed

Cell: 7.1164 7.1164 7.1164 Å, 90.00 90.00 90.00°
Space group F-43m (No. 216)
Inequivalent atoms, fractional coordinates:
Tc  0.0000  0.0000  0.0000 [4 per cell]
Tc  0.1240  0.1240  0.6240 [16 per cell]
Ni  0.2500  0.2500  0.2500 [4 per cell]

Output
ΔE_f: 0.386 eV per atom
Calculated volume: 15.017 Å³ per atom
DOS(E_F): 1.139 states/eV/atom
Energy: -55.30 eV per formula unit

---

Record 11
Compound: TcNi
Source: Alexandria via LeMat-Bulk
Functional: PBE-GGA
Structure: relaxed

Cell: 4.2281 2.6141 4.5803 Å, 90.00 90.00 90.00°
Space group Pmma (No. 51)
Inequivalent atoms, fractional coordinates:
Tc  0.2500  0.0000  0.1627 [2 per cell]
Ni  0.2500  0.5000  0.6494 [2 per cell]

Output
ΔE_f: -0.035 eV per atom
Calculated volume: 12.656 Å³ per atom
DOS(E_F): 1.031 states/eV/atom
Energy: -16.22 eV per formula unit

---

Record 12
Compound: TcNi
Source: Alexandria via LeMat-Bulk
Functional: PBE-GGA
Structure: relaxed

Cell: 4.8523 4.8523 4.8523 Å, 90.00 90.00 90.00°
Space group Fm-3m (No. 225)
Inequivalent atoms, fractional coordinates:
Tc  0.0000  0.0000  0.0000 [4 per cell]
Ni  0.0000  0.0000  0.5000 [4 per cell]

Output
ΔE_f: 1.011 eV per atom
Calculated volume: 14.280 Å³ per atom
DOS(E_F): 1.656 states/eV/atom
Energy: -14.12 eV per formula unit

---

Record 13
Compound: Tc5Ni4
Source: Alexandria via LeMat-Bulk
Functional: PBE-GGA
Structure: relaxed

Cell: 7.2389 7.2389 5.1797 Å, 90.00 90.00 120.00°
Space group P6_3/mcm (No. 193)
Inequivalent atoms, fractional coordinates:
Tc  0.0000  0.3219  0.2500 [6 per cell]
Tc  0.3333  0.6667  0.0000 [4 per cell]
Ni  0.0000  0.0000  0.0000 [2 per cell]
Ni  0.0000  0.3447  0.7500 [6 per cell]

Output
ΔE_f: 0.159 eV per atom
Calculated volume: 13.059 Å³ per atom
DOS(E_F): 1.081 states/eV/atom
Energy: -73.53 eV per formula unit

---

Record 14
Compound: TcNi
Source: Alexandria via LeMat-Bulk
Functional: PBE-GGA
Structure: relaxed

Cell: 3.7632 3.7632 4.6814 Å, 90.00 90.00 120.00°
Space group P6_3/mmc (No. 194)
Inequivalent atoms, fractional coordinates:
Tc  0.3333  0.6667  0.2500 [2 per cell]
Ni  0.0000  0.0000  0.0000 [2 per cell]

Output
ΔE_f: 0.782 eV per atom
Calculated volume: 14.353 Å³ per atom
DOS(E_F): 1.386 states/eV/atom
Energy: -14.58 eV per formula unit

---

Record 15
Compound: Tc3Ni4
Source: Alexandria via LeMat-Bulk
Functional: PBE-GGA
Structure: relaxed

Cell: 6.9289 6.9289 4.1992 Å, 90.00 90.00 120.00°
Space group P6_3/m (No. 176)
Inequivalent atoms, fractional coordinates:
Tc  0.0570  0.8100  0.2500 [6 per cell]
Ni  0.0997  0.6112  0.7500 [6 per cell]
Ni  0.3333  0.6667  0.2500 [2 per cell]

Output
ΔE_f: -0.050 eV per atom
Calculated volume: 12.471 Å³ per atom
DOS(E_F): 0.651 states/eV/atom
Energy: -54.58 eV per formula unit

---

Record 16
Compound: Tc3Ni
Source: Alexandria via LeMat-Bulk
Functional: PBE-GGA
Structure: relaxed

Cell: 3.1494 3.1494 5.5543 Å, 90.00 90.00 90.00°
Space group P4/mmm (No. 123)
Inequivalent atoms, fractional coordinates:
Tc  0.0000  0.0000  0.0000 [1 per cell]
Tc  0.5000  0.5000  0.2744 [2 per cell]
Ni  0.0000  0.0000  0.5000 [1 per cell]

Output
ΔE_f: 0.127 eV per atom
Calculated volume: 13.773 Å³ per atom
DOS(E_F): 0.721 states/eV/atom
Energy: -36.37 eV per formula unit

---

Record 17
Compound: Tc3Ni
Source: Alexandria via LeMat-Bulk
Functional: PBE-GGA
Structure: relaxed

Cell: 6.0570 6.0570 6.0570 Å, 90.00 90.00 90.00°
Space group Fm-3m (No. 225)
Inequivalent atoms, fractional coordinates:
Tc  0.0000  0.0000  0.0000 [4 per cell]
Tc  0.2500  0.2500  0.2500 [8 per cell]
Ni  0.0000  0.0000  0.5000 [4 per cell]

Output
ΔE_f: 0.224 eV per atom
Calculated volume: 13.888 Å³ per atom
DOS(E_F): 1.248 states/eV/atom
Energy: -35.98 eV per formula unit

---

Record 18
Compound: Tc3Ni
Source: Alexandria via LeMat-Bulk
Functional: PBE-GGA
Structure: relaxed

Cell: 4.3154 5.4062 4.6637 Å, 90.00 90.00 90.00°
Space group Pmmn (No. 59, origin choice 2)
Inequivalent atoms, fractional coordinates:
Tc  0.2500  0.0023  0.1719 [4 per cell]
Tc  0.2500  0.7500  0.6643 [2 per cell]
Ni  0.2500  0.2500  0.6695 [2 per cell]

Output
ΔE_f: -0.080 eV per atom
Calculated volume: 13.600 Å³ per atom
DOS(E_F): 0.606 states/eV/atom
Energy: -37.20 eV per formula unit

---

Record 19
Compound: Tc3Ni
Source: Alexandria via LeMat-Bulk
Functional: PBE-GGA
Structure: relaxed

Cell: 4.7944 4.7944 4.7944 Å, 90.00 90.00 90.00°
Space group Pm-3n (No. 223)
Inequivalent atoms, fractional coordinates:
Tc  0.0000  0.2500  0.5000 [6 per cell]
Ni  0.0000  0.0000  0.0000 [2 per cell]

Output
ΔE_f: 0.067 eV per atom
Calculated volume: 13.776 Å³ per atom
DOS(E_F): 1.080 states/eV/atom
Energy: -36.61 eV per formula unit

---

Record 20
Compound: Tc3Ni
Source: Alexandria via LeMat-Bulk
Functional: PBE-GGA
Structure: relaxed

Cell: 5.3789 5.3789 4.3368 Å, 90.00 90.00 120.00°
Space group P6_3/mmc (No. 194)
Inequivalent atoms, fractional coordinates:
Tc  0.1658  0.3315  0.2500 [6 per cell]
Ni  0.3333  0.6667  0.7500 [2 per cell]

Output
ΔE_f: -0.099 eV per atom
Calculated volume: 13.583 Å³ per atom
DOS(E_F): 0.658 states/eV/atom
Energy: -37.27 eV per formula unit